BaMn2Rh: optimized geometry, GGA-PBE.

a b c (Å): 5.080 5.080 16.939
angles (deg): 90.00 90.00 90.00
Space group I4_1/amd (No. 141, origin choice 2)
Symmetry-distinct sites (fractional):
Ba  0.000  0.250  0.375 [4 per cell]
Mn  0.000  0.000  0.000 [8 per cell]
Rh  0.000  0.250  0.875 [4 per cell]

## Properties
DFT formation energy, kJ/mol of formula units: 206.8
Magnetization, Bohr magnetons per cell: 30.532

CsNaIn2: optimized geometry, GGA-PBE.

a b c (Å): 8.481 8.481 8.481
angles (deg): 90.00 90.00 90.00
Space group Fm-3m (No. 225)
Symmetry-distinct sites (fractional):
Cs  0.000  0.000  0.000 [4 per cell]
Na  0.000  0.000  0.500 [4 per cell]
In  0.250  0.250  0.250 [8 per cell]

## Properties
DFT formation energy, kJ/mol of formula units: 60.6
Magnetization, Bohr magnetons per cell: 0.000

YHBr2: optimized geometry, GGA-PBE.

a b c (Å): 6.924 6.924 6.924
angles (deg): 90.00 90.00 90.00
Space group Fm-3m (No. 225)
Symmetry-distinct sites (fractional):
Y  0.000  0.000  0.000 [4 per cell]
H  0.000  0.000  0.500 [4 per cell]
Br  0.250  0.250  0.250 [8 per cell]

## Properties
Magnetization, Bohr magnetons per cell: 0.000
E, eV/atom: -4.0862

AlSb2Mo: optimized geometry, GGA-PBE.

a b c (Å): 8.793 3.522 6.581
angles (deg): 90.00 109.52 90.00
Space group Cm (No. 8)
Symmetry-distinct sites (fractional):
Al  0.000  0.000  0.000 [2 per cell]
Sb  0.004  0.500  0.666 [2 per cell]
Sb  0.280  0.500  0.220 [2 per cell]
Mo  0.257  0.000  0.879 [2 per cell]

## Properties
Raw formation energy, eV per atom: 0.19
Magnetization, Bohr magnetons per cell: 0.000